# AcTb4Pm15 PBE-GGA relaxed
# - E_form (eV per atom) = 0.021
# - total magnetic moment (μB per cell) = 0.00
# - VASP energy (eV/atom) = -4.674
data_AcTb4Pm15
_cell_length_a 5.163
_cell_length_b 5.163
_cell_length_c 25.796
_cell_angle_alpha 90.00
_cell_angle_beta 90.00
_cell_angle_gamma 90.00
_symmetry_space_group_name_H-M 'P 1'
_symmetry_Int_Tables_number 1
loop_
_symmetry_equiv_pos_as_xyz
'x,y,z'
loop_
_atom_site_label
_atom_site_fract_x
_atom_site_fract_y
_atom_site_fract_z
Ac1 0.000 0.000 0.000
Tb1 0.000 0.000 0.203
Tb2 0.000 0.000 0.401
Tb3 0.000 0.000 0.599
Tb4 0.000 0.000 0.797
Pm1 0.000 0.500 0.105
Pm2 0.000 0.500 0.302
Pm3 0.000 0.500 0.500
Pm4 0.000 0.500 0.698
Pm5 0.000 0.500 0.895
Pm6 0.500 0.000 0.105
Pm7 0.500 0.000 0.302
Pm8 0.500 0.000 0.500
Pm9 0.500 0.000 0.698
Pm10 0.500 0.000 0.895
Pm11 0.500 0.500 0.000
Pm12 0.500 0.500 0.204
Pm13 0.500 0.500 0.401
Pm14 0.500 0.500 0.599
Pm15 0.500 0.500 0.796

***

# Ac3Tb3Pm2 PBE-GGA relaxed
# - E_form (eV per atom) = 0.176
# - total magnetic moment (μB per cell) = 0.00
# - VASP energy (eV/atom) = -4.289
data_Ac3Tb3Pm2
_cell_length_a 10.155
_cell_length_b 10.155
_cell_length_c 6.809
_cell_angle_alpha 90.00
_cell_angle_beta 90.00
_cell_angle_gamma 120.00
_symmetry_space_group_name_H-M 'P 1'
_symmetry_Int_Tables_number 1
loop_
_symmetry_equiv_pos_as_xyz
'x,y,z'
loop_
_atom_site_label
_atom_site_fract_x
_atom_site_fract_y
_atom_site_fract_z
Ac1 0.000 0.234 0.250
Ac2 0.000 0.766 0.750
Ac3 0.234 0.000 0.250
Ac4 0.234 0.234 0.750
Ac5 0.766 0.000 0.750
Ac6 0.766 0.766 0.250
Tb1 0.000 0.414 0.750
Tb2 0.000 0.586 0.250
Tb3 0.414 0.000 0.750
Tb4 0.414 0.414 0.250
Tb5 0.586 0.000 0.250
Tb6 0.586 0.586 0.750
Pm1 0.333 0.667 0.000
Pm2 0.333 0.667 0.500
Pm3 0.667 0.333 0.000
Pm4 0.667 0.333 0.500

***

# AcTb4Pm5 PBE-GGA relaxed
# - E_form (eV per atom) = 0.029
# - total magnetic moment (μB per cell) = 0.00
# - VASP energy (eV/atom) = -4.610
data_AcTb4Pm5
_cell_length_a 3.668
_cell_length_b 3.668
_cell_length_c 25.581
_cell_angle_alpha 90.00
_cell_angle_beta 90.00
_cell_angle_gamma 90.00
_symmetry_space_group_name_H-M 'P 1'
_symmetry_Int_Tables_number 1
loop_
_symmetry_equiv_pos_as_xyz
'x,y,z'
loop_
_atom_site_label
_atom_site_fract_x
_atom_site_fract_y
_atom_site_fract_z
Ac1 0.000 0.000 0.000
Tb1 0.000 0.000 0.207
Tb2 0.000 0.000 0.402
Tb3 0.000 0.000 0.598
Tb4 0.000 0.000 0.793
Pm1 0.500 0.500 0.109
Pm2 0.500 0.500 0.305
Pm3 0.500 0.500 0.500
Pm4 0.500 0.500 0.695
Pm5 0.500 0.500 0.891

***

# AcTb2Pm3 PBE-GGA relaxed
# - E_form (eV per atom) = 0.083
# - total magnetic moment (μB per cell) = 0.00
# - VASP energy (eV/atom) = -4.520
data_AcTb2Pm3
_cell_length_a 6.864
_cell_length_b 6.864
_cell_length_c 9.171
_cell_angle_alpha 98.05
_cell_angle_beta 98.05
_cell_angle_gamma 94.89
_symmetry_space_group_name_H-M 'P 1'
_symmetry_Int_Tables_number 1
loop_
_symmetry_equiv_pos_as_xyz
'x,y,z'
loop_
_atom_site_label
_atom_site_fract_x
_atom_site_fract_y
_atom_site_fract_z
Ac1 0.069 0.931 0.750
Ac2 0.931 0.069 0.250
Tb1 0.126 0.618 0.376
Tb2 0.382 0.874 0.124
Tb3 0.618 0.126 0.876
Tb4 0.874 0.382 0.624
Pm1 0.182 0.361 0.014
Pm2 0.361 0.182 0.514
Pm3 0.410 0.590 0.750
Pm4 0.590 0.410 0.250
Pm5 0.639 0.818 0.486
Pm6 0.818 0.639 0.986